The following is a DFT calculation (PBE) of a geometry-optimized Tb2DyAg3 structure.

a = 3.6331 Å, b = 3.6331 Å, c = 11.0103 Å
α = 90.00°, β = 90.00°, γ = 90.00°
Fractional coordinates of all 6 atoms:
Tb 0.0000 0.0000 0.1673
Tb 0.0000 0.0000 0.8327
Dy 0.0000 0.0000 0.5000
Ag 0.5000 0.5000 0.0000
Ag 0.5000 0.5000 0.3351
Ag 0.5000 0.5000 0.6649

Computed properties:
D(E_F): 0.52 states/eV/atom
formation energy: -0.32 eV/atom